Material: CeHo3Tm8
Method: DFT, PBE-GGA
State: optimized geometry

Cell lengths 7.5586, 7.5586, 15.1765 Å; angles 90.00, 90.00, 90.00 degrees
Space group I4/mmm (No. 139)
Unique sites:
Ce: 0.0000 0.0000 0.0000 x2
Ho: 0.0000 0.0000 0.5000 x2
Ho: 0.0000 0.5000 0.2500 x4
Tm: 0.2484 0.2484 0.1243 x16

Properties
Magnetization in μB/cell: 3.69
Total DFT energy (no corrections) in eV/atom: -3.849
DOS(E_F) in states/eV per atom: 1.3548
Calculated density in g/cm³: 7.61
DFT formation energy in eV/atom: 0.771